ZnCuP2Cl at its PBEsol-relaxed geometry, computed with meta-GGA SCAN.

Geometry as CIF:
```
data_ZnCuP2Cl
_space_group_name_H-M_alt 'P 4/m m m'
_space_group_IT_number 123
_space_group_name_Hall '-P 4 2'
_cell_length_a 4.5235
_cell_length_b 4.5235
_cell_length_c 4.8642
_cell_angle_alpha 90.00
_cell_angle_beta 90.00
_cell_angle_gamma 90.00
loop_
_atom_site_label
_atom_site_type_symbol
_atom_site_fract_x
_atom_site_fract_y
_atom_site_fract_z
_atom_site_occupancy
Zn1 Zn 0.0000 0.0000 0.0000 1
Cu1 Cu 0.5000 0.5000 0.5000 1
P1 P 0.0000 0.5000 0.0000 1
Cl1 Cl 0.0000 0.0000 0.5000 1
```

Calculated values
The uncorrected formation energy is 0.909 eV per atom. Its final energy is -10.589 eV per atom. The calculation puts the volume at 19.91 Å³ per atom. For the density, the calculation gives 3.776 Mg/m³.



CuPb2Cl at its PBEsol-relaxed geometry, computed with meta-GGA SCAN.

Geometry as CIF:
```
data_CuPb2Cl
_space_group_name_H-M_alt 'F -4 3 m'
_space_group_IT_number 216
_space_group_name_Hall 'F -4 2 3'
_cell_length_a 7.1846
_cell_length_b 7.1846
_cell_length_c 7.1846
_cell_angle_alpha 90.00
_cell_angle_beta 90.00
_cell_angle_gamma 90.00
loop_
_atom_site_label
_atom_site_type_symbol
_atom_site_fract_x
_atom_site_fract_y
_atom_site_fract_z
_atom_site_occupancy
Cu1 Cu 0.0000 0.0000 0.0000 1
Pb1 Pb 0.0000 0.0000 0.5000 1
Pb2 Pb 0.2500 0.2500 0.2500 1
Cl1 Cl 0.2500 0.2500 0.7500 1
```

Calculated values
The uncorrected formation energy is 0.215 eV per atom. Its final energy is -43.470 eV per atom. The value obtained for the excess energy over the best structure of this formula in the dataset is 274.5 meV/atom. The calculation puts the volume at 23.18 Å³ per atom. For the density, the calculation gives 9.195 Mg/m³.



CuPb2Cl at its PBEsol-relaxed geometry, computed with meta-GGA SCAN.

Geometry as CIF:
```
data_CuPb2Cl
_space_group_name_H-M_alt 'F m -3 m'
_space_group_IT_number 225
_space_group_name_Hall '-F 4 2 3'
_cell_length_a 7.1102
_cell_length_b 7.1102
_cell_length_c 7.1102
_cell_angle_alpha 90.00
_cell_angle_beta 90.00
_cell_angle_gamma 90.00
loop_
_atom_site_label
_atom_site_type_symbol
_atom_site_fract_x
_atom_site_fract_y
_atom_site_fract_z
_atom_site_occupancy
Cu1 Cu 0.0000 0.0000 0.0000 1
Pb1 Pb 0.2500 0.2500 0.2500 1
Cl1 Cl 0.0000 0.0000 0.5000 1
```

Calculated values
The uncorrected formation energy is 0.138 eV per atom. Its final energy is -43.547 eV per atom. The value obtained for the excess energy over the best structure of this formula in the dataset is 197.4 meV/atom. The calculation puts the volume at 22.47 Å³ per atom. For the density, the calculation gives 9.487 Mg/m³.



CuPb2Cl at its PBEsol-relaxed geometry, computed with meta-GGA SCAN.

Geometry as CIF:
```
data_CuPb2Cl
_space_group_name_H-M_alt 'I m m m'
_space_group_IT_number 71
_space_group_name_Hall '-I 2 2'
_cell_length_a 3.8004
_cell_length_b 5.5599
_cell_length_c 8.9150
_cell_angle_alpha 90.00
_cell_angle_beta 90.00
_cell_angle_gamma 90.00
loop_
_atom_site_label
_atom_site_type_symbol
_atom_site_fract_x
_atom_site_fract_y
_atom_site_fract_z
_atom_site_occupancy
Cu1 Cu 0.0000 0.0000 0.0000 1
Pb1 Pb 0.0000 0.5000 0.2749 1
Cl1 Cl 0.0000 0.0000 0.5000 1
```

Calculated values
The uncorrected formation energy is 0.020 eV per atom. Its final energy is -43.665 eV per atom. The value obtained for the excess energy over the best structure of this formula in the dataset is 80.0 meV/atom. The calculation puts the volume at 23.55 Å³ per atom. For the density, the calculation gives 9.051 Mg/m³.



Cu2PbCl at its PBEsol-relaxed geometry, computed with meta-GGA SCAN.

Geometry as CIF:
```
data_Cu2PbCl
_space_group_name_H-M_alt 'C 1 m 1'
_space_group_IT_number 8
_cell_length_a 14.7879
_cell_length_b 3.3190
_cell_length_c 3.2429
_cell_angle_alpha 90.00
_cell_angle_beta 99.01
_cell_angle_gamma 90.00
loop_
_space_group_symop_operation_xyz
'x,y,z'
'x,-y,z'
'x+1/2,y+1/2,z'
'x+1/2,-y+1/2,z'
loop_
_atom_site_label
_atom_site_type_symbol
_atom_site_fract_x
_atom_site_fract_y
_atom_site_fract_z
_atom_site_occupancy
Cu1 Cu 0.0000 0.0000 0.0000 1
Cu2 Cu 0.0685 0.5000 0.5494 1
Pb1 Pb 0.3769 0.0000 0.3959 1
Cl1 Cl 0.1719 0.0000 0.7413 1
```

Calculated values
The uncorrected formation energy is -0.081 eV per atom. Its final energy is -28.621 eV per atom. The value obtained for the excess energy over the best structure of this formula in the dataset is 0.0 meV/atom. The calculation puts the volume at 19.65 Å³ per atom. For the density, the calculation gives 7.811 Mg/m³.



CuPb2Cl at its PBEsol-relaxed geometry, computed with meta-GGA SCAN.

Geometry as CIF:
```
data_CuPb2Cl
_space_group_name_H-M_alt 'P 4 m m'
_space_group_IT_number 99
_cell_length_a 3.2748
_cell_length_b 3.2748
_cell_length_c 8.5058
_cell_angle_alpha 90.00
_cell_angle_beta 90.00
_cell_angle_gamma 90.00
loop_
_space_group_symop_operation_xyz
'x,y,z'
'-y,x,z'
'-x,-y,z'
'y,-x,z'
'-x,y,z'
'y,x,z'
'x,-y,z'
'-y,-x,z'
loop_
_atom_site_label
_atom_site_type_symbol
_atom_site_fract_x
_atom_site_fract_y
_atom_site_fract_z
_atom_site_occupancy
Cu1 Cu 0.0000 0.0000 0.0000 1
Pb1 Pb 0.0000 0.0000 0.5339 1
Pb2 Pb 0.5000 0.5000 0.2216 1
Cl1 Cl 0.5000 0.5000 0.8478 1
```

Calculated values
The uncorrected formation energy is -0.060 eV per atom. Its final energy is -43.745 eV per atom. The value obtained for the excess energy over the best structure of this formula in the dataset is 0.0 meV/atom. The calculation puts the volume at 22.81 Å³ per atom. For the density, the calculation gives 9.346 Mg/m³.



Cu2PbCl at its PBEsol-relaxed geometry, computed with meta-GGA SCAN.

Geometry as CIF:
```
data_Cu2PbCl
_space_group_name_H-M_alt 'C 1 2/m 1'
_space_group_IT_number 12
_cell_length_a 9.3489
_cell_length_b 3.1854
_cell_length_c 7.2489
_cell_angle_alpha 90.00
_cell_angle_beta 129.22
_cell_angle_gamma 90.00
loop_
_space_group_symop_operation_xyz
'x,y,z'
'-x,-y,-z'
'-x,y,-z'
'x,-y,z'
'x+1/2,y+1/2,z'
'-x+1/2,-y+1/2,-z'
'-x+1/2,y+1/2,-z'
'x+1/2,-y+1/2,z'
loop_
_atom_site_label
_atom_site_type_symbol
_atom_site_fract_x
_atom_site_fract_y
_atom_site_fract_z
_atom_site_occupancy
Cu1 Cu 0.1436 0.0000 0.3326 1
Pb1 Pb 0.0000 0.5000 0.5000 1
Cl1 Cl 0.0000 0.5000 0.0000 1
```

Calculated values
The uncorrected formation energy is 0.057 eV per atom. Its final energy is -28.482 eV per atom. The value obtained for the excess energy over the best structure of this formula in the dataset is 138.4 meV/atom. The calculation puts the volume at 20.90 Å³ per atom. For the density, the calculation gives 7.343 Mg/m³.



Cu2PbCl at its PBEsol-relaxed geometry, computed with meta-GGA SCAN.

Geometry as CIF:
```
data_Cu2PbCl
_space_group_name_H-M_alt 'P 4/m m m'
_space_group_IT_number 123
_space_group_name_Hall '-P 4 2'
_cell_length_a 3.1703
_cell_length_b 3.1703
_cell_length_c 6.9963
_cell_angle_alpha 90.00
_cell_angle_beta 90.00
_cell_angle_gamma 90.00
loop_
_atom_site_label
_atom_site_type_symbol
_atom_site_fract_x
_atom_site_fract_y
_atom_site_fract_z
_atom_site_occupancy
Cu1 Cu 0.0000 0.0000 0.2266 1
Pb1 Pb 0.5000 0.5000 0.5000 1
Cl1 Cl 0.5000 0.5000 0.0000 1
```

Calculated values
The uncorrected formation energy is 0.231 eV per atom. Its final energy is -28.308 eV per atom. The value obtained for the excess energy over the best structure of this formula in the dataset is 312.9 meV/atom. The calculation puts the volume at 17.58 Å³ per atom. For the density, the calculation gives 8.731 Mg/m³.



CuPbS2Cl at its PBEsol-relaxed geometry, computed with meta-GGA SCAN.

Geometry as CIF:
```
data_CuPbS2Cl
_space_group_name_H-M_alt 'P 4/m m m'
_space_group_IT_number 123
_space_group_name_Hall '-P 4 2'
_cell_length_a 5.0862
_cell_length_b 5.0862
_cell_length_c 5.2428
_cell_angle_alpha 90.00
_cell_angle_beta 90.00
_cell_angle_gamma 90.00
loop_
_atom_site_label
_atom_site_type_symbol
_atom_site_fract_x
_atom_site_fract_y
_atom_site_fract_z
_atom_site_occupancy
Cu1 Cu 0.0000 0.0000 0.0000 1
Pb1 Pb 0.5000 0.5000 0.5000 1
S1 S 0.0000 0.5000 0.5000 1
Cl1 Cl 0.5000 0.5000 0.0000 1
```

Calculated values
The uncorrected formation energy is 0.590 eV per atom. Its final energy is -23.052 eV per atom. The calculation puts the volume at 27.13 Å³ per atom. For the density, the calculation gives 4.534 Mg/m³.



Sr2CuPdCl at its PBEsol-relaxed geometry, computed with meta-GGA SCAN.

Geometry as CIF:
```
data_Sr2CuPdCl
_space_group_name_H-M_alt 'P 4/m m m'
_space_group_IT_number 123
_space_group_name_Hall '-P 4 2'
_cell_length_a 5.6929
_cell_length_b 5.6929
_cell_length_c 4.5171
_cell_angle_alpha 90.00
_cell_angle_beta 90.00
_cell_angle_gamma 90.00
loop_
_atom_site_label
_atom_site_type_symbol
_atom_site_fract_x
_atom_site_fract_y
_atom_site_fract_z
_atom_site_occupancy
Sr1 Sr 0.0000 0.5000 0.0000 1
Cu1 Cu 0.0000 0.0000 0.0000 1
Pd1 Pd 0.0000 0.0000 0.5000 1
Cl1 Cl 0.5000 0.5000 0.5000 1
```

Calculated values
The uncorrected formation energy is -0.624 eV per atom. Its final energy is -20.724 eV per atom. The calculation puts the volume at 29.28 Å³ per atom. For the density, the calculation gives 4.318 Mg/m³.